(1)
! AlNi2Te GGA-PBE optimized geometry; values from VASP
&SYSTEM
  ibrav = 0, nat = 4, ntyp = 3
/
ATOMIC_SPECIES
Al 26.98 Al.upf
Ni 58.69 Ni.upf
Te 127.60 Te.upf
ATOMIC_POSITIONS crystal
Al 0.0000 0.0000 0.0000
Ni 0.2556 0.2556 0.2556
Ni 0.7444 0.7444 0.7444
Te 0.5000 0.5000 0.5000
CELL_PARAMETERS angstrom
1.5348 0.8861 7.7158
-1.5348 0.8861 7.7158
0.0000 -1.7722 7.7158
! **Polymorph energy (0 for the lowest one)**: 0.1967 eV per atom
! **DFT total energy**: -4.576 eV/atom
! **Total moment**: 0.00 μB per formula unit
! **Space group**: R-3m (166)
! **DOS at the Fermi energy**: 0.54 states/eV per atom
! **ΔE_f (raw)**: 36 meV per atom
! **Density**: 7.2 g cm⁻³


(2)
! Gd2InSbO7 GGA-PBE optimized geometry; values from VASP
&SYSTEM
  ibrav = 0, nat = 22, ntyp = 4
/
ATOMIC_SPECIES
Gd 157.25 Gd.upf
In 114.82 In.upf
Sb 121.76 Sb.upf
O 16.00 O.upf
ATOMIC_POSITIONS crystal
Gd 0.0000 0.0000 0.0000
Gd 0.5000 0.0000 0.0000
Gd 0.5000 0.0000 0.5000
Gd 0.5000 0.5000 0.5000
In 0.0000 0.0000 0.5000
In 0.0000 0.5000 0.0000
Sb 0.0000 0.5000 0.5000
Sb 0.5000 0.5000 0.0000
O 0.1008 0.4243 0.2754
O 0.1008 0.8254 0.6765
O 0.1044 0.8544 0.2500
O 0.3168 0.5668 0.7500
O 0.3511 0.1746 0.7754
O 0.3511 0.5757 0.1765
O 0.3788 0.1288 0.2500
O 0.6212 0.8712 0.7500
O 0.6489 0.4243 0.8235
O 0.6489 0.8254 0.2246
O 0.6832 0.4332 0.2500
O 0.8956 0.1456 0.7500
O 0.8992 0.1746 0.3235
O 0.8992 0.5757 0.7246
CELL_PARAMETERS angstrom
-3.7054 3.7987 5.2996
3.7054 -3.7987 5.2996
3.7054 3.7987 -5.2996
! **DFT total energy**: -8.811 eV/atom
! **Total moment**: 14.01 μB per formula unit
! **Space group**: Imma (74)
! **DOS at the Fermi energy**: 0.00 states/eV per atom
! **ΔE_f (raw)**: -2472 meV per atom
! **Density**: 7.4 g cm⁻³


Copy entry 2 word for word.
! Gd2InSbO7 GGA-PBE optimized geometry; values from VASP
&SYSTEM
  ibrav = 0, nat = 22, ntyp = 4
/
ATOMIC_SPECIES
Gd 157.25 Gd.upf
In 114.82 In.upf
Sb 121.76 Sb.upf
O 16.00 O.upf
ATOMIC_POSITIONS crystal
Gd 0.0000 0.0000 0.0000
Gd 0.5000 0.0000 0.0000
Gd 0.5000 0.0000 0.5000
Gd 0.5000 0.5000 0.5000
In 0.0000 0.0000 0.5000
In 0.0000 0.5000 0.0000
Sb 0.0000 0.5000 0.5000
Sb 0.5000 0.5000 0.0000
O 0.1008 0.4243 0.2754
O 0.1008 0.8254 0.6765
O 0.1044 0.8544 0.2500
O 0.3168 0.5668 0.7500
O 0.3511 0.1746 0.7754
O 0.3511 0.5757 0.1765
O 0.3788 0.1288 0.2500
O 0.6212 0.8712 0.7500
O 0.6489 0.4243 0.8235
O 0.6489 0.8254 0.2246
O 0.6832 0.4332 0.2500
O 0.8956 0.1456 0.7500
O 0.8992 0.1746 0.3235
O 0.8992 0.5757 0.7246
CELL_PARAMETERS angstrom
-3.7054 3.7987 5.2996
3.7054 -3.7987 5.2996
3.7054 3.7987 -5.2996
! **DFT total energy**: -8.811 eV/atom
! **Total moment**: 14.01 μB per formula unit
! **Space group**: Imma (74)
! **DOS at the Fermi energy**: 0.00 states/eV per atom
! **ΔE_f (raw)**: -2472 meV per atom
! **Density**: 7.4 g cm⁻³


- Among the records above, which one has the highest total moment?
  Gd2InSbO7


- Which value of total moment does entry 1 give?
  0.00 μB per formula unit


- Among the records above, which one has the lowest total moment?
  AlNi2Te